[1]
Computed, not measured: a relaxed HfHgS3 crystal at the GGA-PBE level of DFT.

```
data_HfHgS3
_chemical_formula_sum 'Hf4 Hg4 S12'
_cell_length_a 9.2098
_cell_length_b 3.7675
_cell_length_c 14.0481
_cell_angle_alpha 90.00
_cell_angle_beta 90.00
_cell_angle_gamma 90.00
_space_group_name_H-M_alt 'P n m a'
_space_group_IT_number 62
loop_
_space_group_symop_operation_xyz
'x,y,z'
'-x,-y,-z'
'-x+1/2,-y,z+1/2'
'x+1/2,y,-z+1/2'
'x+1/2,-y+1/2,-z+1/2'
'-x+1/2,y+1/2,z+1/2'
'-x,y+1/2,-z'
'x,-y+1/2,z'
loop_
_atom_site_label
_atom_site_type_symbol
_atom_site_fract_x
_atom_site_fract_y
_atom_site_fract_z
_atom_site_occupancy
Hf1 Hf 0.1711 0.2500 0.0269 1
Hg1 Hg 0.0157 0.2500 0.6307 1
S1 S 0.0262 0.7500 0.1032 1
S2 S 0.1804 0.7500 0.6795 1
S3 S 0.1909 0.2500 0.4383 1
```

Summary:
Its volume is 487.4 Å³/cell. As for the final energy: -107.04 eV for the cell shown.

---

[2]
Computed, not measured: a relaxed GaAsIrO crystal at the GGA-PBE level of DFT.

```
data_GaAsIrO
_chemical_formula_sum 'Ga2 As2 Ir2 O2'
_cell_length_a 3.8793
_cell_length_b 3.8793
_cell_length_c 8.8937
_cell_angle_alpha 90.00
_cell_angle_beta 90.00
_cell_angle_gamma 90.00
_space_group_name_H-M_alt 'P 4/n m m'
_space_group_IT_number 129
loop_
_space_group_symop_operation_xyz
'x,y,z'
'-x,-y,-z'
'-y+1/2,x,z'
'y+1/2,-x,-z'
'-x+1/2,-y+1/2,z'
'x+1/2,y+1/2,-z'
'y,-x+1/2,z'
'-y,x+1/2,-z'
'x+1/2,-y,-z'
'-x+1/2,y,z'
'-y,-x,-z'
'y,x,z'
'-x,y+1/2,-z'
'x,-y+1/2,z'
'y+1/2,x+1/2,-z'
'-y+1/2,-x+1/2,z'
loop_
_atom_site_label
_atom_site_type_symbol
_atom_site_fract_x
_atom_site_fract_y
_atom_site_fract_z
_atom_site_occupancy
Ga1 Ga 0.2500 0.2500 0.0885 1
As1 As 0.2500 0.2500 0.6702 1
Ir1 Ir 0.2500 0.7500 0.5000 1
O1 O 0.2500 0.7500 0.0000 1
```

Summary:
Its volume is 133.8 Å³/cell. As for the final energy: -47.54 eV for the cell shown.